The following is a DFT calculation (PBE) of a relaxed structure of Pr3Nd2Sc.

## Properties
polymorph energy (0 for the lowest one) = 0.012 eV per atom
calculated formation energy = 0.0503 eV per atom

Cell lengths 3.731, 8.487, 12.975 Å; angles 90.04, 90.00, 90.00 degrees
Positions (direct):
Nd: 0.750 0.654 0.559
Nd: 0.750 0.080 0.890
Nd: 0.250 0.346 0.441
Nd: 0.250 0.920 0.110
Sc: 0.250 0.811 0.749
Sc: 0.750 0.189 0.251
Pr: 0.750 0.081 0.611
Pr: 0.250 0.399 0.750
Pr: 0.750 0.656 0.939
Pr: 0.250 0.344 0.061
Pr: 0.250 0.919 0.389
Pr: 0.750 0.601 0.250


The following is a DFT calculation (PBE) of a relaxed structure of ReAg2Os.

## Properties
polymorph energy (0 for the lowest one) = 0.567 eV per atom
calculated formation energy = 0.8464 eV per atom

Cell lengths 4.593, 3.740, 3.740 Å; angles 90.00, 90.00, 90.00 degrees
Positions (direct):
Ag: 0.000 0.000 0.000
Ag: 0.000 0.500 0.500
Os: 0.500 0.500 0.000
Re: 0.500 0.000 0.500


The following is a DFT calculation (PBE) of a relaxed structure of K2PrCuF8.

## Properties
uncorrected formation energy = -2.7437 eV/atom

Cell lengths 4.100, 6.254, 8.107 Å; angles 100.12, 86.58, 93.93 degrees
Positions (direct):
Cu: 0.000 0.000 0.000
Pr: 0.000 0.000 0.500
F: 0.043 0.711 0.285
F: 0.507 0.198 0.460
F: 0.345 0.178 0.961
F: 0.957 0.289 0.715
F: 0.024 0.856 0.787
F: 0.976 0.144 0.213
F: 0.655 0.822 0.039
F: 0.493 0.802 0.540
K: 0.479 0.529 0.758
K: 0.521 0.471 0.242


The following is a DFT calculation (PBE) of a relaxed structure of GdErMgRh.

## Properties
calculated formation energy = -0.4042 eV per atom

Cell lengths 5.053, 5.053, 5.053 Å; angles 60.00, 60.00, 60.00 degrees
Positions (direct):
Mg: 0.000 0.000 0.000
Gd: 0.250 0.250 0.250
Rh: 0.500 0.500 0.500
Er: 0.750 0.750 0.750


The following is a DFT calculation (PBE) of a relaxed structure of Zn2RhBr.

## Properties
polymorph energy (0 for the lowest one) = 0.390 eV per atom
uncorrected formation energy = 0.1792 eV/atom

Cell lengths 8.088, 8.088, 8.088 Å; angles 23.03, 23.03, 23.03 degrees
Positions (direct):
Zn: 0.254 0.254 0.254
Zn: 0.003 0.003 0.003
Br: 0.496 0.496 0.496
Rh: 0.746 0.746 0.746


The following is a DFT calculation (PBE) of a relaxed structure of LiMgCrGe.

## Properties
calculated formation energy = -0.0168 eV per atom

Cell lengths 4.478, 4.478, 4.478 Å; angles 60.00, 60.00, 60.00 degrees
Positions (direct):
Mg: 0.500 0.500 0.500
Li: 0.750 0.750 0.750
Ge: 0.000 0.000 0.000
Cr: 0.250 0.250 0.250


The following is a DFT calculation (PBE) of a relaxed structure of ScCr2NiH.

## Properties
polymorph energy (0 for the lowest one) = 0.000 eV per atom

Cell lengths 4.582, 4.750, 4.582 Å; angles 90.00, 90.00, 90.00 degrees
Positions (direct):
Ni: 0.000 0.000 0.000
Sc: 0.000 0.500 0.000
Cr: 0.500 0.000 0.000
Cr: 0.000 0.000 0.500
H: 0.500 0.500 0.500


The following is a DFT calculation (PBE) of a relaxed structure of Ca3Bi3Rh2.

## Properties
polymorph energy (0 for the lowest one) = 0.000 eV per atom
calculated formation energy = -0.6286 eV per atom

Cell lengths 4.701, 6.142, 15.620 Å; angles 90.00, 90.00, 112.50 degrees
Positions (direct):
Ca: 0.076 0.152 0.611
Ca: 0.647 0.294 0.250
Ca: 0.924 0.848 0.111
Ca: 0.924 0.848 0.389
Ca: 0.353 0.706 0.750
Ca: 0.076 0.152 0.889
Bi: 0.364 0.729 0.535
Bi: 0.349 0.698 0.250
Bi: 0.636 0.271 0.465
Bi: 0.364 0.729 0.965
Bi: 0.636 0.271 0.035
Bi: 0.651 0.302 0.750
Rh: 0.794 0.588 0.605
Rh: 0.206 0.412 0.105
Rh: 0.206 0.412 0.395
Rh: 0.794 0.588 0.895